# 1
LaNdHoSc | PBE | optimized geometry

Output
For the energy relative to the elements, the calculation gives 0.09 eV/atom.

a b c (Å): 6.779 6.779 3.832
angles (deg): 106.35 106.35 50.20
Fractional positions:
La  0.000  0.000  0.000
Nd  0.726  0.726  0.214
Ho  0.265  0.265  0.755
Sc  0.492  0.492  0.485

=====

# 2
LaNdHo3Sc | PBE | optimized geometry

Output
For the energy relative to the elements, the calculation gives 0.05 eV/atom.

a b c (Å): 7.905 7.905 10.062
angles (deg): 90.00 90.00 142.89
Fractional positions:
La  0.002  0.998  0.750
La  0.998  0.002  0.250
Nd  0.500  0.500  0.000
Nd  0.500  0.500  0.500
Ho  0.170  0.830  0.001
Ho  0.170  0.830  0.499
Ho  0.328  0.672  0.750
Ho  0.672  0.328  0.250
Ho  0.830  0.170  0.501
Ho  0.830  0.170  0.999
Sc  0.330  0.670  0.250
Sc  0.670  0.330  0.750

=====

# 3
La5NdHo2Sc | PBE | optimized geometry

Output
For the energy relative to the elements, the calculation gives 0.12 eV/atom.

a b c (Å): 11.319 11.319 10.462
angles (deg): 90.00 90.00 152.10
Fractional positions:
La  0.001  0.999  0.500
La  0.127  0.873  0.251
La  0.220  0.780  0.943
La  0.224  0.776  0.568
La  0.498  0.502  0.751
La  0.502  0.498  0.251
La  0.776  0.224  0.068
La  0.780  0.220  0.443
La  0.873  0.127  0.751
La  0.999  0.001  0.000
Nd  0.101  0.899  0.751
Nd  0.899  0.101  0.251
Ho  0.384  0.616  0.005
Ho  0.386  0.614  0.497
Ho  0.614  0.386  0.997
Ho  0.616  0.384  0.505
Sc  0.289  0.711  0.255
Sc  0.711  0.289  0.755